[1]
Density functional theory data (PBE) for crystalline CeAuN at its relaxed geometry.

Structure (POSCAR):
```
CeAuN
1.0
-1.658 1.658 5.428
1.658 -1.658 5.428
1.658 1.658 -5.428
Ce Au N
1 1 1
direct
0.000 0.000 0.000
0.288 0.288 0.000
0.530 0.530 0.000
```

Properties
The space group is I4mm. As for the energy relative to the elements, uncorrected: -1.9 eV per formula unit. The total magnetization comes out at 0.16 μB/cell.

---

[2]
Density functional theory data (PBE) for crystalline Pm5Nd3Mg at its relaxed geometry.

Structure (POSCAR):
```
Pm5Nd3Mg
1.0
5.721 -4.127 0.000
5.721 4.127 0.000
-0.280 0.000 13.723
Pm Nd Mg
10 6 2
direct
0.004 0.004 0.256
0.038 0.483 0.335
0.173 0.827 0.000
0.253 0.253 0.875
0.483 0.038 0.335
0.517 0.962 0.665
0.747 0.747 0.125
0.827 0.173 0.000
0.962 0.517 0.665
0.996 0.996 0.744
0.135 0.135 0.509
0.258 0.258 0.118
0.500 0.500 0.000
0.500 0.500 0.500
0.742 0.742 0.882
0.865 0.865 0.491
0.493 0.493 0.747
0.507 0.507 0.253
```

Properties
The formation energy comes out at 0.336 eV/atom. The space group is C2/m. The total magnetization comes out at 0.00 μB/cell.

---

For each record above, in turn, the calculated total energy values are -6.468, -4.069 eV per atom.